# 1
Compound: BiH6Pd8
Source: Alexandria
Functional: GGA-PBE
Structure: relaxed

## Properties
DOS at the Fermi energy: 4.895 states/eV/f.u.
electronic total energy: -66.88 eV per cell

a b c (Å): 3.0016 8.0079 8.0079
angles (deg): 120.00 90.00 90.00
Sites, in units of the cell vectors:
H 0.3086 0.7058 0.1523
H 0.6914 0.2942 0.8477
H 0.6914 0.5535 0.7058
H 0.6914 0.1523 0.4465
H 0.3086 0.4465 0.2942
H 0.3086 0.8477 0.5535
Pd 0.1902 0.3438 0.0187
Pd 0.3926 0.3333 0.6667
Pd 0.8098 0.6562 0.9813
Pd 0.1902 0.6749 0.6562
Pd 0.6074 0.6667 0.3333
Pd 0.1902 0.9813 0.3251
Pd 0.8098 0.3251 0.3438
Pd 0.8098 0.0187 0.6749
Bi 0.5000 0.0000 0.0000

***

# 2
Compound: BiH2Pd3
Source: Alexandria
Functional: GGA-PBE
Structure: relaxed

## Properties
DOS at the Fermi energy: 1.858 states/eV/f.u.
energy relative to the lowest polymorph listed for this composition: 0.0 meV per atom

a b c (Å): 5.4613 5.7385 5.7385
angles (deg): 116.93 90.00 90.00
Sites, in units of the cell vectors:
H 0.5121 0.6687 0.0452
H 0.0121 0.3313 0.9548
H 0.5121 0.0452 0.6687
H 0.0121 0.9548 0.3313
Pd 0.6863 0.3585 0.8617
Pd 0.0111 0.1560 0.1560
Pd 0.6863 0.8617 0.3585
Pd 0.5111 0.8440 0.8440
Pd 0.1863 0.1383 0.6415
Pd 0.1863 0.6415 0.1383
Bi 0.5041 0.3275 0.3275
Bi 0.0041 0.6725 0.6725